The following is a PBE calculation of an optimized crystal structure of UHRu3, from the Alexandria database.

abc: 4.040 4.040 4.040
angles: 90.00 90.00 90.00
Space group Pm-3m (No. 221)
Inequivalent atoms, fractional coordinates:
U 0.000 0.000 0.000
H 0.500 0.500 0.500
Ru 0.000 0.500 0.500

## Properties
Total energy (eV per atom): -8.796